(1)
Compound: LaGa3Br6
Source: the Alexandria database
Functional: PBE
Structure: relaxed

- magnetic moment (Bohr magnetons per cell) = 0.00
- calculated density (g/cm3) = 3.798
- uncorrected energy (eV/atom) = -3.51
- formation energy (no corrections) (eV per atom) = -1.11
- density of states at the Fermi level (states/eV/atom) = 0.000

Cell: 7.641 8.467 13.364 Å, 90.00 123.19 90.00°
Positions (direct):
La 0.000 0.000 0.000
La 0.000 0.500 0.500
Ga 0.310 0.094 0.801
Ga 0.310 0.406 0.301
Ga 0.500 0.000 0.500
Ga 0.500 0.500 0.000
Ga 0.690 0.594 0.699
Ga 0.690 0.906 0.199
Br 0.095 0.070 0.242
Br 0.095 0.430 0.742
Br 0.272 0.718 0.092
Br 0.272 0.782 0.592
Br 0.373 0.171 0.042
Br 0.373 0.329 0.542
Br 0.627 0.671 0.458
Br 0.627 0.829 0.958
Br 0.728 0.218 0.408
Br 0.728 0.282 0.908
Br 0.905 0.570 0.258
Br 0.905 0.930 0.758



(2)
Compound: Be2WBr
Source: the Alexandria database
Functional: PBE
Structure: relaxed

- magnetic moment (Bohr magnetons per cell) = 0.00
- calculated density (g/cm3) = 8.661
- uncorrected energy (eV/atom) = -4.52
- formation energy (no corrections) (eV per atom) = 1.00
- density of states at the Fermi level (states/eV/atom) = 0.590

Cell: 5.002 5.002 5.002 Å, 138.67 138.67 59.88°
Positions (direct):
Be 0.000 0.000 0.000
Be 0.750 0.250 0.500
W 0.500 0.500 0.000
Br 0.250 0.750 0.500